1.
LiLaTc4 (PBE-GGA, optimized geometry); total magnetic moment = 0.00 μB per formula unit; E_form = 30.3 kJ/mol of atoms
1.0
0.000 3.792 3.792
3.792 0.000 3.792
3.792 3.792 0.000
Li La Tc
1 1 4
Direct
0.000 0.000 0.000 Li
0.250 0.250 0.250 La
0.124 0.625 0.625 Tc
0.625 0.124 0.625 Tc
0.625 0.625 0.124 Tc
0.625 0.625 0.625 Tc

2.
AlNiPb2 (PBE-GGA, optimized geometry); total magnetic moment = 0.00 μB per formula unit; E_form = 8.5 kJ/mol of atoms
1.0
4.224 0.000 0.000
0.000 4.100 0.000
-2.061 0.000 5.087
Al Ni Pb
1 1 2
Direct
0.000 0.000 0.000 Al
0.880 0.500 0.754 Ni
0.296 0.000 0.584 Pb
0.588 0.500 0.178 Pb